Record 1
Compound: KPm2CuO4
Source: the Alexandria database
Functional: GGA-PBE
Structure: relaxed

Properties
- Formation energy without anion corrections: -2.38 eV/atom
- Calculated volume: 16.14 Å³/atom
- VASP energy: -214.38 eV per cell

```
data_KPm2CuO4
_chemical_formula_sum 'K4 Pm8 Cu4 O16'
_cell_length_a 3.5713
_cell_length_b 11.9955
_cell_length_c 12.0532
_cell_angle_alpha 90.00
_cell_angle_beta 90.00
_cell_angle_gamma 90.00
_space_group_name_H-M_alt 'C m c m'
_space_group_IT_number 63
_space_group_name_Hall '-C 2c 2'
loop_
_atom_site_label
_atom_site_type_symbol
_atom_site_fract_x
_atom_site_fract_y
_atom_site_fract_z
K1 K 0.0000 0.0976 0.2500
Pm1 Pm 0.0000 0.3679 0.0610
Cu1 Cu 0.0000 0.1779 0.7500
O1 O 0.0000 0.0000 0.0000
O2 O 0.0000 0.2548 0.6005
O3 O 0.0000 0.4214 0.2500
```



Record 2
Compound: K3Pm2CuO6
Source: the Alexandria database
Functional: GGA-PBE
Structure: relaxed

Properties
- Formation energy without anion corrections: -1.92 eV/atom
- Calculated volume: 16.20 Å³/atom
- VASP energy: -139.43 eV per cell

```
data_K3Pm2CuO6
_chemical_formula_sum 'K6 Pm4 Cu2 O12'
_cell_length_a 5.9766
_cell_length_b 10.4089
_cell_length_c 6.5526
_cell_angle_alpha 90.00
_cell_angle_beta 107.51
_cell_angle_gamma 90.00
_space_group_name_H-M_alt 'C 1 2/m 1'
_space_group_IT_number 12
_space_group_name_Hall '-C 2y'
loop_
_atom_site_label
_atom_site_type_symbol
_atom_site_fract_x
_atom_site_fract_y
_atom_site_fract_z
K1 K 0.0000 0.0000 0.0000
K2 K 0.0000 0.3412 0.0000
Pm1 Pm 0.0000 0.1674 0.5000
Cu1 Cu 0.0000 0.5000 0.5000
O1 O 0.2213 0.3419 0.6922
O2 O 0.2453 0.5000 0.3188
```



Record 3
Compound: KPrCuO3
Source: the Alexandria database
Functional: GGA-PBE
Structure: relaxed

Properties
- Formation energy without anion corrections: -1.96 eV/atom
- Calculated volume: 15.62 Å³/atom
- VASP energy: -146.52 eV per cell

```
data_KPrCuO3
_chemical_formula_sum 'K4 Pr4 Cu4 O12'
_cell_length_a 13.1330
_cell_length_b 3.9671
_cell_length_c 7.4623
_cell_angle_alpha 90.00
_cell_angle_beta 105.42
_cell_angle_gamma 90.00
_space_group_name_H-M_alt 'C 1 2/m 1'
_space_group_IT_number 12
_space_group_name_Hall '-C 2y'
loop_
_atom_site_label
_atom_site_type_symbol
_atom_site_fract_x
_atom_site_fract_y
_atom_site_fract_z
K1 K 0.1418 0.0000 0.0637
Pr1 Pr 0.1494 0.0000 0.5798
Cu1 Cu 0.0073 0.5000 0.2868
O1 O 0.0069 0.0000 0.2953
O2 O 0.1454 0.5000 0.7752
O3 O 0.1623 0.5000 0.3658
```



Which of these has the highest formation energy without anion corrections? K3Pm2CuO6